Record 1
A plane-wave DFT calculation with PBE was carried out for crystalline FeSiOs at its relaxed geometry.

Geometry as CIF:
```
data_FeSiOs
_cell_length_a 2.729
_cell_length_b 3.633
_cell_length_c 7.499
_cell_angle_alpha 90.00
_cell_angle_beta 90.00
_cell_angle_gamma 90.00
_symmetry_space_group_name_H-M 'I m m 2'
_symmetry_Int_Tables_number 44
loop_
_symmetry_equiv_pos_as_xyz
'x,y,z'
'-x,-y,z'
'-x,y,z'
'x,-y,z'
'x+1/2,y+1/2,z+1/2'
'-x+1/2,-y+1/2,z+1/2'
'-x+1/2,y+1/2,z+1/2'
'x+1/2,-y+1/2,z+1/2'
loop_
_atom_site_label
_atom_site_fract_x
_atom_site_fract_y
_atom_site_fract_z
_atom_site_occupancy
Fe1 0.000 0.000 0.000 1
Si1 0.000 0.000 0.333 1
Os1 0.000 0.000 0.664 1
```

Computed properties:
Crystal system: orthorhombic

***

Record 2
A plane-wave DFT calculation with PBE was carried out for crystalline Fe2SiOs at its relaxed geometry.

Geometry as CIF:
```
data_Fe2SiOs
_cell_length_a 2.959
_cell_length_b 4.091
_cell_length_c 8.020
_cell_angle_alpha 90.00
_cell_angle_beta 90.00
_cell_angle_gamma 90.00
_symmetry_space_group_name_H-M 'I m m 2'
_symmetry_Int_Tables_number 44
loop_
_symmetry_equiv_pos_as_xyz
'x,y,z'
'-x,-y,z'
'-x,y,z'
'x,-y,z'
'x+1/2,y+1/2,z+1/2'
'-x+1/2,-y+1/2,z+1/2'
'-x+1/2,y+1/2,z+1/2'
'x+1/2,-y+1/2,z+1/2'
loop_
_atom_site_label
_atom_site_fract_x
_atom_site_fract_y
_atom_site_fract_z
_atom_site_occupancy
Fe1 0.000 0.000 0.000 1
Fe2 0.000 0.500 0.248 1
Si1 0.000 0.000 0.515 1
Os1 0.000 0.500 0.768 1
```

Computed properties:
Crystal system: orthorhombic

***

Record 3
A plane-wave DFT calculation with PBE was carried out for crystalline Fe2SiOs at its relaxed geometry.

Geometry as CIF:
```
data_Fe2SiOs
_cell_length_a 3.562
_cell_length_b 3.562
_cell_length_c 3.906
_cell_angle_alpha 90.00
_cell_angle_beta 90.00
_cell_angle_gamma 90.00
_symmetry_space_group_name_H-M 'P 4/m m m'
_symmetry_Int_Tables_number 123
_symmetry_space_group_name_Hall '-P 4 2'
loop_
_atom_site_label
_atom_site_fract_x
_atom_site_fract_y
_atom_site_fract_z
_atom_site_occupancy
Fe1 0.000 0.500 0.000 1
Si1 0.000 0.000 0.500 1
Os1 0.500 0.500 0.500 1
```

Computed properties:
Crystal system: tetragonal

***

| no. | formation energy without anion corrections (eV/atom) |
| --- | --- |
| 1 | -0.011 |
| 2 | -0.083 |
| 3 | -0.077 |